1.
A geometry-optimized NaCa3Fe structure. Source: the Alexandria database, functional PBE-GGA.

Space-group type: No. 221
Spin magnetization: 0.53 μB/atom
ΔE to the lowest computed polymorph: 738 meV per atom
Energy relative to the elements: 1049 meV per atom

Lattice parameters (Å, degrees): 5.8270 5.8270 5.8270 90.00 90.00 90.00
Last column: magnetic moment on the atom in μB.
Positions (direct):
Na1 0.0000 0.0000 0.0000  0.00
Ca1 0.0000 0.5000 0.0000  -0.04
Ca2 0.0000 0.0000 0.5000  -0.04
Ca3 0.5000 0.0000 0.0000  -0.04
Fe1 0.5000 0.5000 0.5000  3.23


2.
A geometry-optimized Cu2WS structure. Source: the Alexandria database, functional PBE-GGA.

Formation energy from raw total energies: 0.45 eV per atom
Space-group type: No. 122
Spin magnetization: 0.00 μB/atom

Lattice parameters (Å, degrees): 6.9445 6.9445 5.4434 50.37 50.37 90.00
Positions (direct):
S1 0.5000 0.5000 0.0000
S2 0.2500 0.7500 0.5000
Cu1 0.5894 0.1250 0.2500
Cu2 0.1606 0.6250 0.2500
Cu3 0.3750 0.4106 0.7500
Cu4 0.8750 0.8394 0.7500
W1 0.0000 0.0000 0.0000
W2 0.7500 0.2500 0.5000


3.
A geometry-optimized EuYGa4 structure. Source: the Alexandria database, functional PBE-GGA.

Space-group type: No. 216
Spin magnetization: 1.21 μB/atom
Energy relative to the elements: -520 meV per atom

Lattice parameters (Å, degrees): 5.5907 5.5907 5.5907 60.00 60.00 60.00
Last column: magnetic moment on the atom in μB.
Positions (direct):
Eu1 0.0000 0.0000 0.0000  6.83
Y1 0.2500 0.2500 0.2500  0.07
Ga1 0.6249 0.6249 0.1253  0.00
Ga2 0.6249 0.1253 0.6249  0.00
Ga3 0.6249 0.6249 0.6249  0.00
Ga4 0.1253 0.6249 0.6249  0.00


4.
A geometry-optimized ErHfCr4 structure. Source: the Alexandria database, functional PBE-GGA.

Space-group type: No. 216
Spin magnetization: 0.00 μB/atom
Energy relative to the elements: 127 meV per atom

Lattice parameters (Å, degrees): 5.0924 5.0924 5.0924 60.00 60.00 60.00
Positions (direct):
Cr1 0.6251 0.6251 0.1248
Cr2 0.6251 0.1248 0.6251
Cr3 0.6251 0.6251 0.6251
Cr4 0.1248 0.6251 0.6251
Hf1 0.2500 0.2500 0.2500
Er1 0.0000 0.0000 0.0000


5.
A geometry-optimized AcPaSe2 structure. Source: the Alexandria database, functional PBE-GGA.

Formation energy from raw total energies: -1.24 eV per atom
Space-group type: No. 123
Spin magnetization: 0.40 μB/atom
ΔE to the lowest computed polymorph: 0 meV per atom

Lattice parameters (Å, degrees): 3.6819 3.6819 7.4530 90.00 90.00 90.00
Last column: magnetic moment on the atom in μB.
Positions (direct):
Ac1 0.5000 0.5000 0.5000  0.06
Pa1 0.5000 0.5000 0.0000  1.26
Se1 0.0000 0.0000 0.7733  -0.02
Se2 0.0000 0.0000 0.2267  -0.02


Number 1: energy -10.5 eV per cell. Number 2: energy -47.0 eV per cell. Number 3: energy -32.0 eV per cell. Number 4: energy -52.2 eV per cell. Number 5: energy -25.5 eV per cell.